Record 1
Compound: TiFe2Ni7
Source: the Alexandria database
Functional: PBE-GGA
Structure: relaxed

Geometry as POSCAR:
```
TiFe2Ni7
1.0
-1.902 0.093 -3.304
5.017 -3.500 -2.986
-5.425 -2.763 3.045
Ti Fe Ni
1 2 7
Direct
0.000 0.000 0.000 Ti
0.500 0.702 0.298 Fe
0.500 0.298 0.702 Fe
0.000 0.800 0.200 Ni
0.000 0.200 0.800 Ni
0.500 0.081 0.290 Ni
0.500 0.919 0.710 Ni
0.500 0.290 0.081 Ni
0.500 0.710 0.919 Ni
0.500 0.500 0.500 Ni
```

Properties
Energy relative to the elements in eV per atom: 0.446
Crystal system: orthorhombic

Record 2
Compound: Ti6FeNi12
Source: the Alexandria database
Functional: PBE-GGA
Structure: relaxed

Geometry as POSCAR:
```
Ti6FeNi12
1.0
6.239 0.238 0.285
-0.711 6.203 0.285
-0.711 -0.828 6.154
Ti Fe Ni
6 1 12
Direct
0.696 0.856 0.241 Ti
0.759 0.304 0.144 Ti
0.144 0.759 0.304 Ti
0.304 0.144 0.759 Ti
0.241 0.696 0.856 Ti
0.856 0.241 0.696 Ti
0.000 0.000 0.000 Fe
0.786 0.539 0.481 Ni
0.481 0.786 0.539 Ni
0.539 0.481 0.786 Ni
0.214 0.461 0.519 Ni
0.519 0.214 0.461 Ni
0.461 0.519 0.214 Ni
0.057 0.130 0.371 Ni
0.870 0.629 0.943 Ni
0.629 0.943 0.870 Ni
0.943 0.870 0.629 Ni
0.130 0.371 0.057 Ni
0.371 0.057 0.130 Ni
```

Properties
Energy relative to the elements in eV per atom: -0.258
Crystal system: trigonal

Which formula does entry 1 have? TiFe2Ni7

Look up the energy relative to the elements of the first one. 0.446 eV per atom

Which of these has the lowest energy relative to the elements? Ti6FeNi12